Ce2EuCd after structural relaxation, computed with PBE-GGA.

The structure belongs to space group P4/mmm (No. 123); the cell edges are 4.782, 4.782 and 5.197 Å and the angles 90.00°, 90.00° and 90.00°. The asymmetric unit holds Ce at (0.000, 0.500, 0.000), Eu at (0.000, 0.000, 0.500) and Cd at (0.500, 0.500, 0.500).

For the formation energy from the elements, the calculation gives 4 kJ per mole of atoms. For the total energy, the calculation gives -22.9 eV/cell. The value obtained for the excess energy over the best structure of this formula in the dataset is 0 meV per atom.